# 1
The following is a PBE calculation of a relaxed Sm6HOs2Br3 crystal, from Alexandria.

Summary:
space group	C2/m (12)
electronic total energy	-5.68	eV per atom

Lattice parameters (Å, degrees): 6.924 6.924 8.103 98.21 98.21 120.05
Positions (direct):
Sm: 0.100 0.435 0.805
Sm: 0.231 0.231 0.194
Sm: 0.435 0.100 0.805
Sm: 0.565 0.900 0.195
Sm: 0.769 0.769 0.806
Sm: 0.900 0.565 0.195
H: 0.500 0.500 0.000
Os: 0.167 0.833 0.000
Os: 0.833 0.167 0.000
Br: 0.000 0.000 0.500
Br: 0.331 0.669 0.500
Br: 0.669 0.331 0.500

***

# 2
The following is a PBE calculation of a relaxed VHOsBr2 crystal, from Alexandria.

Summary:
space group	P4/mmm (123)
electronic total energy	-4.23	eV per atom

Lattice parameters (Å, degrees): 5.247 5.247 4.668 90.00 90.00 90.00
Positions (direct):
V: 0.000 0.000 0.000
H: 0.500 0.500 0.000
Os: 0.000 0.000 0.500
Br: 0.000 0.500 0.500
Br: 0.500 0.000 0.500

***

# 3
The following is a PBE calculation of a relaxed P2H4Br crystal, from Alexandria.

Summary:
space group	P1 (1)
electronic total energy	-3.71	eV per atom

Lattice parameters (Å, degrees): 5.653 7.550 7.734 118.81 111.04 90.01
Positions (direct):
P: 0.000 0.000 0.000
P: 0.065 0.984 0.723
P: 0.368 0.485 0.720
P: 0.703 0.499 0.997
H: 0.000 0.789 0.938
H: 0.257 0.086 0.161
H: 0.470 0.365 0.564
H: 0.472 0.678 0.756
H: 0.603 0.584 0.157
H: 0.642 0.288 0.933
H: 0.812 0.863 0.567
H: 0.996 0.176 0.756
Br: 0.172 0.559 0.255
Br: 0.784 0.060 0.258

***

# 4
The following is a PBE calculation of a relaxed P2HBr8 crystal, from Alexandria.

Summary:
space group	C2/m (12)
electronic total energy	-2.50	eV per atom

Lattice parameters (Å, degrees): 7.926 7.926 7.234 93.94 93.94 77.64
Positions (direct):
P: 0.204 0.204 0.301
P: 0.796 0.796 0.699
H: 0.000 0.000 0.000
Br: 0.081 0.720 0.855
Br: 0.191 0.191 0.613
Br: 0.280 0.919 0.145
Br: 0.386 0.386 0.266
Br: 0.614 0.614 0.734
Br: 0.720 0.081 0.855
Br: 0.809 0.809 0.387
Br: 0.919 0.280 0.145

***

# 5
The following is a PBE calculation of a relaxed PHBr crystal, from Alexandria.

Summary:
offset from the most stable computed form	56	meV/atom
space group	P1 (1)

Lattice parameters (Å, degrees): 3.454 7.116 7.232 71.02 85.00 76.39
Positions (direct):
P: 0.000 0.000 0.000
P: 0.422 0.104 0.150
H: 0.476 0.539 0.654
H: 0.958 0.159 0.816
Br: 0.272 0.450 0.022
Br: 0.758 0.544 0.493

***

# 6
The following is a PBE calculation of a relaxed PHBr2 crystal, from Alexandria.

Summary:
offset from the most stable computed form	198	meV/atom
space group	I-42d (122)

Lattice parameters (Å, degrees): 5.899 5.899 5.899 112.87 112.87 102.87
Positions (direct):
P: 0.000 0.000 0.000
P: 0.750 0.250 0.500
H: 0.250 0.750 0.500
H: 0.500 0.500 0.000
Br: 0.162 0.125 0.537
Br: 0.375 0.838 0.963
Br: 0.588 0.625 0.463
Br: 0.875 0.412 0.037

***

no.,spin magnetization (μB/atom)
1,0.000
2,0.550
3,0.144
4,0.000
5,0.000
6,0.000